Here is a relaxed structure of Y2Cd2Ni15 from the Alexandria database. Energies are from PBE.

a b c (Å): 6.3942 6.3942 6.3942
angles (deg): 83.06 83.06 83.06
Fractional coordinates of all 19 atoms:
Y (0.1481, 0.1481, 0.1481)
Y (0.8519, 0.8519, 0.8519)
Cd (0.3945, 0.3945, 0.3945)
Cd (0.6055, 0.6055, 0.6055)
Ni (0.0000, 0.5000, 0.5000)
Ni (0.1525, 0.1525, 0.6630)
Ni (0.1525, 0.6630, 0.1525)
Ni (0.1929, 0.5000, 0.8071)
Ni (0.1929, 0.8071, 0.5000)
Ni (0.3370, 0.8475, 0.8475)
Ni (0.5000, 0.0000, 0.5000)
Ni (0.5000, 0.1929, 0.8071)
Ni (0.5000, 0.5000, 0.0000)
Ni (0.5000, 0.8071, 0.1929)
Ni (0.6630, 0.1525, 0.1525)
Ni (0.8071, 0.1929, 0.5000)
Ni (0.8071, 0.5000, 0.1929)
Ni (0.8475, 0.3370, 0.8475)
Ni (0.8475, 0.8475, 0.3370)

Summary:
ΔE_f = -2.87 eV per formula unit

***

Here is a relaxed structure of Y2CdNi2 from the Alexandria database. Energies are from PBE.

a b c (Å): 5.2753 5.2753 7.7198
angles (deg): 90.00 90.00 90.00
Fractional coordinates of all 10 atoms:
Y (0.0000, 0.5000, 0.2500)
Y (0.0000, 0.5000, 0.7500)
Y (0.5000, 0.0000, 0.2500)
Y (0.5000, 0.0000, 0.7500)
Cd (0.0000, 0.0000, 0.0000)
Cd (0.5000, 0.5000, 0.5000)
Ni (0.0000, 0.0000, 0.3527)
Ni (0.0000, 0.0000, 0.6473)
Ni (0.5000, 0.5000, 0.1473)
Ni (0.5000, 0.5000, 0.8527)

Summary:
ΔE_f = -1.22 eV per formula unit

***

Here is a relaxed structure of YCdNi2 from the Alexandria database. Energies are from PBE.

a b c (Å): 3.8622 3.8485 9.7459
angles (deg): 90.00 90.00 90.00
Fractional coordinates of all 8 atoms:
Y (0.0000, 0.0000, 0.0000)
Y (0.0000, 0.5000, 0.5000)
Cd (0.5000, 0.0000, 0.7062)
Cd (0.5000, 0.5000, 0.2062)
Ni (0.0000, 0.0000, 0.2824)
Ni (0.0000, 0.5000, 0.7824)
Ni (0.5000, 0.0000, 0.4207)
Ni (0.5000, 0.5000, 0.9207)

Summary:
ΔE_f = -1.06 eV per formula unit

***

Here is a relaxed structure of YCdNi2 from the Alexandria database. Energies are from PBE.

a b c (Å): 4.3685 4.3685 17.6837
angles (deg): 90.00 90.00 90.00
Fractional coordinates of all 16 atoms:
Y (0.0000, 0.0000, 0.0000)
Y (0.0000, 0.5000, 0.2500)
Y (0.5000, 0.0000, 0.7500)
Y (0.5000, 0.5000, 0.5000)
Cd (0.0000, 0.0000, 0.5000)
Cd (0.0000, 0.5000, 0.7500)
Cd (0.5000, 0.0000, 0.2500)
Cd (0.5000, 0.5000, 0.0000)
Ni (0.0960, 0.2500, 0.6250)
Ni (0.2500, 0.5960, 0.8750)
Ni (0.2500, 0.9040, 0.3750)
Ni (0.4040, 0.2500, 0.1250)
Ni (0.5960, 0.7500, 0.1250)
Ni (0.7500, 0.0960, 0.3750)
Ni (0.7500, 0.4040, 0.8750)
Ni (0.9040, 0.7500, 0.6250)

Summary:
ΔE_f = 0.80 eV per formula unit

***

Here is a relaxed structure of Y6Cd2Ni from the Alexandria database. Energies are from PBE.

a b c (Å): 6.9828 7.2416 12.3829
angles (deg): 90.00 123.87 90.00
Fractional coordinates of all 18 atoms:
Y (0.1538, 0.0020, 0.2479)
Y (0.1538, 0.4980, 0.7479)
Y (0.2308, 0.7066, 0.0382)
Y (0.2308, 0.7934, 0.5382)
Y (0.3408, 0.1991, 0.0441)
Y (0.3408, 0.3009, 0.5441)
Y (0.6592, 0.6991, 0.4559)
Y (0.6592, 0.8009, 0.9559)
Y (0.7692, 0.2066, 0.4618)
Y (0.7692, 0.2934, 0.9618)
Y (0.8462, 0.5020, 0.2521)
Y (0.8462, 0.9980, 0.7521)
Cd (0.2821, 0.0708, 0.7499)
Cd (0.2821, 0.4292, 0.2499)
Cd (0.7179, 0.5708, 0.7501)
Cd (0.7179, 0.9292, 0.2501)
Ni (0.5000, 0.0000, 0.5000)
Ni (0.5000, 0.5000, 0.0000)

Summary:
ΔE_f = -1.41 eV per formula unit

***

Here is a relaxed structure of YCdNi2 from the Alexandria database. Energies are from PBE.

a b c (Å): 6.3853 6.3898 3.3995
angles (deg): 90.00 90.12 90.00
Fractional coordinates of all 8 atoms:
Y (0.0000, 0.0000, 0.0000)
Y (0.5000, 0.5000, 0.0000)
Cd (0.0000, 0.5000, 0.0000)
Cd (0.5000, 0.0000, 0.0000)
Ni (0.2500, 0.2500, 0.5000)
Ni (0.2500, 0.7500, 0.5000)
Ni (0.7500, 0.2500, 0.5000)
Ni (0.7500, 0.7500, 0.5000)

Summary:
ΔE_f = -0.60 eV per formula unit

***

Here is a relaxed structure of YZnCdNi from the Alexandria database. Energies are from PBE.

a b c (Å): 6.6769 6.6769 6.6769
angles (deg): 90.00 90.00 90.00
Fractional coordinates of all 16 atoms:
Y (0.0000, 0.0000, 0.0000)
Y (0.0000, 0.5000, 0.5000)
Y (0.5000, 0.0000, 0.5000)
Y (0.5000, 0.5000, 0.0000)
Zn (0.2500, 0.2500, 0.7500)
Zn (0.2500, 0.7500, 0.2500)
Zn (0.7500, 0.2500, 0.2500)
Zn (0.7500, 0.7500, 0.7500)
Cd (0.0000, 0.0000, 0.5000)
Cd (0.0000, 0.5000, 0.0000)
Cd (0.5000, 0.0000, 0.0000)
Cd (0.5000, 0.5000, 0.5000)
Ni (0.2500, 0.2500, 0.2500)
Ni (0.2500, 0.7500, 0.7500)
Ni (0.7500, 0.2500, 0.7500)
Ni (0.7500, 0.7500, 0.2500)

Summary:
ΔE_f = -0.95 eV per formula unit

***

Here is a relaxed structure of YbCdNi4 from the Alexandria database. Energies are from PBE.

a b c (Å): 4.9295 4.9295 4.9295
angles (deg): 60.00 60.00 60.00
Fractional coordinates of all 6 atoms:
Yb (0.0000, 0.0000, 0.0000)
Cd (0.7500, 0.7500, 0.7500)
Ni (0.3751, 0.3751, 0.3751)
Ni (0.3751, 0.3751, 0.8747)
Ni (0.3751, 0.8747, 0.3751)
Ni (0.8747, 0.3751, 0.3751)

Summary:
ΔE_f = -1.70 eV per formula unit

***

Here is a relaxed structure of ZnCdNi6 from the Alexandria database. Energies are from PBE.

a b c (Å): 6.3401 6.3401 10.3864
angles (deg): 90.00 90.00 110.01
Fractional coordinates of all 32 atoms:
Zn (0.0000, 0.0000, 0.2454)
Zn (0.0000, 0.0000, 0.7546)
Zn (0.2549, 0.7451, 0.0000)
Zn (0.7451, 0.2549, 0.0000)
Cd (0.2551, 0.7449, 0.5000)
Cd (0.5000, 0.5000, 0.2475)
Cd (0.5000, 0.5000, 0.7525)
Cd (0.7449, 0.2551, 0.5000)
Ni (0.0000, 0.0000, 0.0000)
Ni (0.0000, 0.0000, 0.5000)
Ni (0.1155, 0.3698, 0.1202)
Ni (0.1155, 0.3698, 0.8798)
Ni (0.1178, 0.3631, 0.3695)
Ni (0.1178, 0.3631, 0.6305)
Ni (0.2459, 0.7541, 0.2422)
Ni (0.2459, 0.7541, 0.7578)
Ni (0.3631, 0.1178, 0.3695)
Ni (0.3631, 0.1178, 0.6305)
Ni (0.3698, 0.1155, 0.1202)
Ni (0.3698, 0.1155, 0.8798)
Ni (0.5000, 0.5000, 0.0000)
Ni (0.5000, 0.5000, 0.5000)
Ni (0.6302, 0.8845, 0.1202)
Ni (0.6302, 0.8845, 0.8798)
Ni (0.6369, 0.8822, 0.3695)
Ni (0.6369, 0.8822, 0.6305)
Ni (0.7541, 0.2459, 0.2422)
Ni (0.7541, 0.2459, 0.7578)
Ni (0.8822, 0.6369, 0.3695)
Ni (0.8822, 0.6369, 0.6305)
Ni (0.8845, 0.6302, 0.1202)
Ni (0.8845, 0.6302, 0.8798)

Summary:
ΔE_f = 0.21 eV per formula unit

***

Here is a relaxed structure of ZnCdNi2 from the Alexandria database. Energies are from PBE.

a b c (Å): 2.7578 2.7578 26.0827
angles (deg): 90.00 90.00 120.00
Fractional coordinates of all 12 atoms:
Zn (0.0000, 0.0000, 0.0000)
Zn (0.3333, 0.6667, 0.6667)
Zn (0.6667, 0.3333, 0.3333)
Cd (0.0000, 0.0000, 0.7670)
Cd (0.3333, 0.6667, 0.4337)
Cd (0.6667, 0.3333, 0.1003)
Ni (0.0000, 0.0000, 0.2592)
Ni (0.0000, 0.0000, 0.5201)
Ni (0.3333, 0.6667, 0.1868)
Ni (0.3333, 0.6667, 0.9259)
Ni (0.6667, 0.3333, 0.5926)
Ni (0.6667, 0.3333, 0.8535)

Summary:
ΔE_f = 0.50 eV per formula unit

***

Here is a relaxed structure of ZnCdNi2 from the Alexandria database. Energies are from PBE.

a b c (Å): 2.8684 4.3723 8.8866
angles (deg): 90.00 90.00 90.00
Fractional coordinates of all 8 atoms:
Zn (0.0000, 0.0000, 0.0000)
Zn (0.5000, 0.5000, 0.5000)
Cd (0.0000, 0.5000, 0.7726)
Cd (0.5000, 0.0000, 0.2726)
Ni (0.0000, 0.0000, 0.5358)
Ni (0.0000, 0.5000, 0.2671)
Ni (0.5000, 0.0000, 0.7671)
Ni (0.5000, 0.5000, 0.0358)

Summary:
ΔE_f = 0.07 eV per formula unit

***

Here is a relaxed structure of ZnCdNi from the Alexandria database. Energies are from PBE.

a b c (Å): 3.0540 3.0540 9.8092
angles (deg): 90.00 90.00 90.00
Fractional coordinates of all 6 atoms:
Zn (0.0000, 0.0000, 0.0000)
Zn (0.5000, 0.5000, 0.5000)
Cd (0.0000, 0.0000, 0.6994)
Cd (0.5000, 0.5000, 0.1994)
Ni (0.0000, 0.0000, 0.3767)
Ni (0.5000, 0.5000, 0.8767)

Summary:
Polymorph energy (0 for the lowest one) = 0.000 eV per atom
ΔE_f = -0.12 eV per formula unit

***

Here is a relaxed structure of Zn3CdNi from the Alexandria database. Energies are from PBE.

a b c (Å): 4.9142 4.9142 4.9142
angles (deg): 90.00 90.00 90.00
Fractional coordinates of all 5 atoms:
Zn (0.0000, 0.0000, 0.5000)
Zn (0.0000, 0.5000, 0.0000)
Zn (0.5000, 0.0000, 0.0000)
Cd (0.0000, 0.0000, 0.0000)
Ni (0.5000, 0.5000, 0.5000)

Summary:
ΔE_f = 4.98 eV per formula unit

***

Here is a relaxed structure of Zn2CdNi from the Alexandria database. Energies are from PBE.

a b c (Å): 3.9070 3.9070 3.9232
angles (deg): 90.00 90.00 90.00
Fractional coordinates of all 4 atoms:
Zn (0.0000, 0.5000, 0.0000)
Zn (0.5000, 0.0000, 0.0000)
Cd (0.0000, 0.0000, 0.5000)
Ni (0.5000, 0.5000, 0.5000)

Summary:
ΔE_f = -0.05 eV per formula unit

***

Here is a relaxed structure of ZnCd3Ni from the Alexandria database. Energies are from PBE.

a b c (Å): 4.9926 4.9926 4.9926
angles (deg): 90.00 90.00 90.00
Fractional coordinates of all 5 atoms:
Zn (0.0000, 0.0000, 0.0000)
Cd (0.0000, 0.5000, 0.5000)
Cd (0.5000, 0.0000, 0.5000)
Cd (0.5000, 0.5000, 0.0000)
Ni (0.5000, 0.5000, 0.5000)

Summary:
Polymorph energy (0 for the lowest one) = 0.000 eV per atom
ΔE_f = 1.49 eV per formula unit

***

Here is a relaxed structure of ZnCd4Ni from the Alexandria database. Energies are from PBE.

a b c (Å): 5.5757 5.5757 5.5757
angles (deg): 60.00 60.00 60.00
Fractional coordinates of all 6 atoms:
Zn (0.0000, 0.0000, 0.0000)
Cd (0.1260, 0.6247, 0.6247)
Cd (0.6247, 0.1260, 0.6247)
Cd (0.6247, 0.6247, 0.1260)
Cd (0.6247, 0.6247, 0.6247)
Ni (0.2500, 0.2500, 0.2500)

Summary:
ΔE_f = 2.41 eV per formula unit

***

Here is a relaxed structure of Zn2CdNi from the Alexandria database. Energies are from PBE.

a b c (Å): 2.8601 4.2195 5.2411
angles (deg): 90.00 103.69 90.00
Fractional coordinates of all 4 atoms:
Zn (0.0000, 0.0000, 0.0000)
Zn (0.3987, 0.5000, 0.8013)
Cd (0.6993, 0.5000, 0.3320)
Ni (0.3000, 0.0000, 0.5551)

Summary:
ΔE_f = 0.04 eV per formula unit

***

Here is a relaxed structure of Zn3CdNi4 from the Alexandria database. Energies are from PBE.

a b c (Å): 7.2985 7.2985 7.2985
angles (deg): 33.19 33.19 33.19
Fractional coordinates of all 8 atoms:
Zn (0.0000, 0.0000, 0.0000)
Zn (0.2506, 0.2506, 0.2506)
Zn (0.7494, 0.7494, 0.7494)
Cd (0.5000, 0.5000, 0.5000)
Ni (0.1182, 0.1182, 0.1182)
Ni (0.3715, 0.3715, 0.3715)
Ni (0.6285, 0.6285, 0.6285)
Ni (0.8818, 0.8818, 0.8818)

Summary:
ΔE_f = -1.00 eV per formula unit

***

Here is a relaxed structure of ZnCd2Ni2 from the Alexandria database. Energies are from PBE.

a b c (Å): 7.4954 7.4954 2.9105
angles (deg): 90.00 90.00 90.00
Fractional coordinates of all 10 atoms:
Zn (0.0000, 0.0000, 0.0000)
Zn (0.5000, 0.5000, 0.0000)
Cd (0.1419, 0.3581, 0.0000)
Cd (0.3581, 0.8581, 0.0000)
Cd (0.6419, 0.1419, 0.0000)
Cd (0.8581, 0.6419, 0.0000)
Ni (0.1563, 0.6563, 0.5000)
Ni (0.3437, 0.1563, 0.5000)
Ni (0.6563, 0.8437, 0.5000)
Ni (0.8437, 0.3437, 0.5000)

Summary:
Polymorph energy (0 for the lowest one) = 0.227 eV per atom
ΔE_f = 1.01 eV per formula unit

***

Here is a relaxed structure of ZnCdNi2 from the Alexandria database. Energies are from PBE.

a b c (Å): 2.9154 2.9154 6.6668
angles (deg): 90.00 90.00 90.00
Fractional coordinates of all 4 atoms:
Zn (0.0000, 0.0000, 0.0000)
Cd (0.5000, 0.5000, 0.3256)
Ni (0.0000, 0.0000, 0.5909)
Ni (0.5000, 0.5000, 0.7941)

Summary:
ΔE_f = 0.06 eV per formula unit